LiTeO3 | PBE | optimized geometry

Structure (POSCAR):
```
LiTeO3
1.0
5.356 -0.045 -1.439
-3.129 4.347 -1.439
-0.198 -0.382 5.954
Li Te O
2 2 6
Direct
0.693 0.693 0.848
0.307 0.307 0.152
0.831 0.169 0.500
0.169 0.831 0.500
0.268 0.626 0.711
0.374 0.732 0.289
0.979 0.979 0.259
0.021 0.021 0.741
0.626 0.268 0.711
0.732 0.374 0.289
```

**Energy**: -5.2278 eV per atom